# 1
Density functional theory data (PBE+U) for LiNiCO4 after structural relaxation.

Summary:
ρ (Mg/m³): 3.6
Magnetization (μB per atom): 0.14
Crystal system: monoclinic
E_tot (eV per atom): -6.124

Cell: 3.112 9.315 9.451 Å, 90.00 105.89 90.00°
Space group P2_1/c (No. 14)
Unique sites:
Li1 0.101 0.101 0.314 (multiplicity 4)
Ni1 0.293 0.620 0.559 (multiplicity 4)
C1 0.422 0.163 0.635 (multiplicity 4)
O1 0.127 0.504 0.390 (multiplicity 4)
O2 0.326 0.235 0.509 (multiplicity 4)
O3 0.347 0.031 0.633 (multiplicity 4)
O4 0.414 0.734 0.743 (multiplicity 4)



# 2
Density functional theory data (PBE+U) for Li2NiC2O6 after structural relaxation.

Summary:
N(E_F) (states/eV/atom): 0.000
ρ (Mg/m³): 2.7
Magnetization (μB per atom): 0.18
Crystal system: triclinic
E_tot (eV per atom): -6.540

Cell: 5.284 6.206 8.229 Å, 82.94 77.36 66.12°
Space group P1 (No. 1)
Unique sites:
Li1 0.000 0.000 0.000 (multiplicity 1)
Li2 0.143 0.537 0.535 (multiplicity 1)
Li3 0.336 0.917 0.311 (multiplicity 1)
Li4 0.561 0.508 0.820 (multiplicity 1)
Ni1 0.032 0.518 0.171 (multiplicity 1)
Ni2 0.651 0.040 0.667 (multiplicity 1)
C1 0.416 0.132 0.963 (multiplicity 1)
C2 0.642 0.466 0.452 (multiplicity 1)
C3 0.812 0.930 0.374 (multiplicity 1)
C4 0.924 0.623 0.887 (multiplicity 1)
O1 0.147 0.638 0.922 (multiplicity 1)
O2 0.287 0.171 0.117 (multiplicity 1)
O3 0.304 0.079 0.856 (multiplicity 1)
O4 0.471 0.554 0.350 (multiplicity 1)
O5 0.547 0.397 0.603 (multiplicity 1)
O6 0.555 0.976 0.450 (multiplicity 1)
O7 0.661 0.144 0.906 (multiplicity 1)
O8 0.766 0.556 0.008 (multiplicity 1)
O9 0.857 0.672 0.740 (multiplicity 1)
O10 0.903 0.865 0.221 (multiplicity 1)
O11 0.904 0.445 0.411 (multiplicity 1)
O12 0.981 0.946 0.461 (multiplicity 1)



# 3
Density functional theory data (PBE+U) for LiNiCO2 after structural relaxation.

Summary:
N(E_F) (states/eV/atom): 0.643
ρ (Mg/m³): 3.3
Magnetization (μB per atom): 0.03
Crystal system: tetragonal
E_tot (eV per atom): -3.621

Cell: 3.594 3.594 4.253 Å, 90.00 90.00 90.00°
Space group P4/mmm (No. 123)
Unique sites:
Li1 0.000 0.000 0.000 (multiplicity 1)
Ni1 0.000 0.000 0.500 (multiplicity 1)
C1 0.500 0.500 0.000 (multiplicity 1)
O1 0.000 0.500 0.500 (multiplicity 2)



Q: magnetization of number 2 (Li2NiC2O6)?
A: 0.18 μB per atom



Q: What is the magnetization in the second record?
A: 0.18 μB per atom



Q: Number 2 is which compound?
A: Li2NiC2O6